(1)
Pu3AgPt8 | Alexandria | PBE | relaxed; spin magnetization = 14.98 μB/cell; energy of formation = -0.70 eV per atom; DOS(E_F) = 3.03 states/eV/atom
1.0
5.184 0.000 1.565
2.356 4.618 1.565
-0.002 -0.001 9.376
Pu Ag Pt
3 1 8
Direct
0.376 0.376 0.871
0.995 0.995 0.014
0.504 0.504 0.488
0.873 0.873 0.381
0.939 0.437 0.187
0.438 0.938 0.687
0.437 0.437 0.187
0.938 0.938 0.687
0.188 0.188 0.436
0.688 0.688 0.937
0.437 0.939 0.187
0.938 0.438 0.687



(2)
Pu3AgPt2 | Alexandria | PBE | relaxed; energy above the most stable polymorph in this dataset = 544 meV/atom; spin magnetization = 4.84 μB/cell; energy of formation = 0.11 eV per atom; DOS(E_F) = 2.63 states/eV/atom
1.0
3.016 0.000 0.000
0.000 3.016 0.000
0.000 0.000 14.245
Pu Ag Pt
3 1 2
Direct
0.000 0.000 0.000
0.000 0.000 0.172
0.000 0.000 0.828
0.500 0.500 0.500
0.500 0.500 0.309
0.500 0.500 0.691



(3)
PuAg2Pt9 | Alexandria | PBE | relaxed; spin magnetization = 4.64 μB/cell; energy of formation = -0.23 eV per atom; DOS(E_F) = 1.54 states/eV/atom
1.0
-0.001 -3.108 4.343
-0.273 -5.309 -0.515
8.652 -3.227 0.977
Pu Ag Pt
1 2 9
Direct
0.000 0.000 0.000
0.852 0.852 0.444
0.148 0.148 0.556
0.667 0.667 0.000
0.333 0.333 0.000
0.500 0.500 0.500
0.413 0.413 0.256
0.918 0.413 0.256
0.413 0.918 0.256
0.587 0.587 0.744
0.587 0.082 0.744
0.082 0.587 0.744



(4)
PuAgPt | Alexandria | PBE | relaxed; energy above the most stable polymorph in this dataset = 185 meV/atom; spin magnetization = 5.17 μB/cell; energy of formation = -0.28 eV per atom; DOS(E_F) = 3.80 states/eV/atom
1.0
-1.597 2.569 1.916
1.550 -1.255 2.975
3.869 2.298 -3.202
Ag Pt Pu
1 1 1
Direct
0.604 0.604 0.209
0.949 0.949 0.899
0.296 0.296 0.593



(5)
PuAgPtRh | Alexandria | PBE | relaxed; spin magnetization = 4.61 μB/cell; energy of formation = -0.34 eV per atom; DOS(E_F) = 1.76 states/eV/atom
1.0
4.707 0.000 0.000
2.353 4.076 0.000
2.353 1.359 3.843
Rh Ag Pt Pu
1 1 1 1
Direct
0.250 0.250 0.250
0.000 0.000 0.000
0.750 0.750 0.750
0.500 0.500 0.500



(6)
Pu4AgPt2Rh | Alexandria | PBE | relaxed; spin magnetization = 22.08 μB/cell; energy of formation = -0.46 eV per atom; DOS(E_F) = 4.25 states/eV/atom
1.0
5.031 0.000 0.000
2.516 4.357 0.000
2.516 1.452 7.995
Pu Ag Pt Rh
4 1 2 1
Direct
0.383 0.383 0.850
0.867 0.867 0.399
0.133 0.133 0.601
0.617 0.617 0.150
0.000 0.000 0.000
0.742 0.742 0.775
0.258 0.258 0.225
0.500 0.500 0.500